DFT (PBE-GGA) results for a geometry-optimized LaSnTe3 structure.

Cell: 6.0964 6.0964 6.0964 Å, 90.00 90.00 90.00°
Atoms (fractional coordinates):
La (0.0000, 0.0000, 0.0000)
Sn (0.5000, 0.5000, 0.5000)
Te (0.0000, 0.0000, 0.5000)
Te (0.0000, 0.5000, 0.0000)
Te (0.5000, 0.0000, 0.0000)

## Properties
Formation energy from raw total energies: -152 meV per atom
Energy above the most stable polymorph in this dataset: 711 meV/atom
Theoretical density: 4.69 g/cm3